No. 1
The following is a DFT calculation (GGA-PBE) of crystalline Er2HfTh at its relaxed geometry. Values from VASP.

Properties
energy above the most stable polymorph in this dataset: 252 meV/atom
ΔH_f (0 K): 0.36 eV/atom
N(E_F): 1.22 states/eV/atom
size of the total moment: 0.00 μB per formula unit
space-group type: R-3m, No. 166

Quantum ESPRESSO input file:
```
&SYSTEM
  ibrav = 0, nat = 4, ntyp = 3
/
ATOMIC_SPECIES
Hf 178.49 Hf.upf
Th 232.04 Th.upf
Er 167.26 Er.upf
CELL_PARAMETERS angstrom
3.365 0.000 0.000
1.683 2.914 0.000
1.683 0.971 11.841
ATOMIC_POSITIONS angstrom
Hf 0.000 0.000 0.000
Th 3.365 1.943 5.921
Er 1.683 0.971 8.744
Er 5.048 2.914 3.098
```


No. 2
The following is a DFT calculation (GGA-PBE) of crystalline LaTc7N12 at its relaxed geometry. Values from VASP.

Properties
ΔE_f (raw): 0.29 eV per atom
N(E_F): 0.48 states/eV/atom
size of the total moment: 7.41 μB per formula unit
space-group type: Im-3, No. 204

Quantum ESPRESSO input file:
```
&SYSTEM
  ibrav = 0, nat = 20, ntyp = 3
/
ATOMIC_SPECIES
La 138.91 La.upf
Tc 98.00 Tc.upf
N 14.01 N.upf
CELL_PARAMETERS angstrom
-4.591 -2.313 -4.185
-1.953 -1.083 6.241
0.794 6.509 -0.968
ATOMIC_POSITIONS angstrom
La 0.000 0.000 0.000
Tc -1.898 2.098 -2.577
Tc -3.272 -1.698 1.028
Tc -0.580 2.713 2.636
Tc 0.397 3.254 -0.484
Tc -2.295 -1.156 -2.092
Tc -2.875 1.556 0.544
Tc -0.977 -0.542 3.120
N -1.383 2.288 -0.624
N -2.912 -0.782 3.686
N -4.366 0.825 1.712
N -2.838 3.895 -2.599
N -2.713 -0.279 -0.309
N -5.220 -1.580 0.479
N -3.036 3.392 1.397
N -0.530 4.693 0.609
N -3.750 -0.018 -2.935
N -2.000 3.130 4.022
N -1.555 1.052 2.003
N -4.194 2.061 -0.915
```


| no. | DFT total energy (eV/atom) |
| --- | --- |
| 1 | -6.265 |
| 2 | -8.580 |